{"formula": "HfFeBRh2", "functional": "PBE-GGA", "state": "optimized geometry", "n_ef_per_ev_atom": 0.394, "crystal_system": "tetragonal", "total_magnetization_mub_per_cell": 1.0, "dft_energy_ry_per_atom": -0.628, "vol_a3_per_atom": 13.33, "formation_energy_ev_per_atom": -0.58, "lattice": [[4.097, 0.000, 0.000], [0.000, 4.097, 0.000], [0.000, 0.000, 3.972]], "species": ["Hf", "Fe", "B", "Rh", "Rh"], "frac_coords": [[0.000, 0.000, 0.000], [0.500, 0.500, 0.000], [0.500, 0.500, 0.500], [0.000, 0.500, 0.500], [0.500, 0.000, 0.500]]}



{"formula": "ZrNiAu2", "functional": "PBE-GGA", "state": "optimized geometry", "n_ef_per_ev_atom": 0.798, "crystal_system": "tetragonal", "total_magnetization_mub_per_cell": 0.0, "dft_energy_ry_per_atom": -0.385, "vol_a3_per_atom": 18.51, "formation_energy_ev_per_atom": -0.02, "lattice": [[7.436, 0.000, 0.000], [0.000, 7.436, 0.000], [0.000, 0.000, 5.357]], "species": ["Zr", "Zr", "Zr", "Zr", "Ni", "Ni", "Ni", "Ni", "Au", "Au", "Au", "Au", "Au", "Au", "Au", "Au"], "frac_coords": [[0.000, 0.000, 0.000], [0.000, 0.500, 0.250], [0.500, 0.000, 0.750], [0.500, 0.500, 0.500], [0.000, 0.000, 0.500], [0.000, 0.500, 0.750], [0.500, 0.000, 0.250], [0.500, 0.500, 0.000], [0.215, 0.250, 0.625], [0.250, 0.715, 0.875], [0.250, 0.785, 0.375], [0.285, 0.250, 0.125], [0.715, 0.750, 0.125], [0.750, 0.215, 0.375], [0.750, 0.285, 0.875], [0.785, 0.750, 0.625]]}



{"formula": "EuHoSnPd", "functional": "PBE-GGA", "state": "optimized geometry", "n_ef_per_ev_atom": 2.960, "crystal_system": "cubic", "total_magnetization_mub_per_cell": 27.5, "dft_energy_ry_per_atom": -0.490, "vol_a3_per_atom": 25.44, "formation_energy_ev_per_atom": -0.66, "lattice": [[7.411, 0.000, 0.000], [0.000, 7.411, 0.000], [0.000, 0.000, 7.411]], "species": ["Eu", "Eu", "Eu", "Eu", "Ho", "Ho", "Ho", "Ho", "Sn", "Sn", "Sn", "Sn", "Pd", "Pd", "Pd", "Pd"], "frac_coords": [[0.000, 0.000, 0.000], [0.000, 0.500, 0.500], [0.500, 0.000, 0.500], [0.500, 0.500, 0.000], [0.000, 0.000, 0.500], [0.000, 0.500, 0.000], [0.500, 0.000, 0.000], [0.500, 0.500, 0.500], [0.250, 0.250, 0.250], [0.250, 0.750, 0.750], [0.750, 0.250, 0.750], [0.750, 0.750, 0.250], [0.250, 0.250, 0.750], [0.250, 0.750, 0.250], [0.750, 0.250, 0.250], [0.750, 0.750, 0.750]]}